(1)
This record from Alexandria via LeMat-Bulk describes a relaxed structure of Tl2AsRh. The functional is PBE-GGA.

Summary:
Offset from the most stable computed form in eV per atom: 0.4457
Mass density in Mg/m³: 11.550
DFT formation energy in eV per atom: 0.353
Energy in eV/f.u.: -15.3
Magnetic moment in μB per formula unit: 0.00

Lattice parameters (Å, degrees): 5.202 5.202 3.212 90.00 90.00 103.98
Element x y z (fractional)
Tl  0.000  0.500  0.000
Tl  0.500  0.000  0.000
As  0.000  0.000  0.500
Rh  0.500  0.500  0.500

---

(2)
This record from Alexandria via LeMat-Bulk describes a relaxed structure of TlAs2Rh. The functional is PBE-GGA.

Summary:
Offset from the most stable computed form in eV per atom: 0.4554
Mass density in Mg/m³: 9.702
DFT formation energy in eV per atom: 0.302
Energy in eV/f.u.: -17.8
Magnetic moment in μB per formula unit: 0.00

Lattice parameters (Å, degrees): 4.794 4.794 3.600 90.10 90.10 109.03
Element x y z (fractional)
Tl  0.000  0.000  0.000
As  0.000  0.500  0.500
As  0.500  0.000  0.500
Rh  0.500  0.500  0.000

---

(3)
This record from Alexandria via LeMat-Bulk describes a relaxed structure of TlAs2Rh. The functional is PBE-GGA.

Summary:
Offset from the most stable computed form in eV per atom: 0.1867
Mass density in Mg/m³: 8.516
DFT formation energy in eV per atom: 0.033
Energy in eV/f.u.: -18.9
Magnetic moment in μB per formula unit: 0.00

Lattice parameters (Å, degrees): 3.948 3.834 6.018 90.00 101.86 90.00
Element x y z (fractional)
Tl  0.000  0.000  0.000
As  0.151  0.500  0.495
As  0.583  0.000  0.496
Rh  0.585  0.500  0.221

---

(4)
This record from Alexandria via LeMat-Bulk describes a relaxed structure of Tl2AsRh2. The functional is PBE-GGA.

Summary:
Mass density in Mg/m³: 11.627
DFT formation energy in eV per atom: 0.092
Energy in eV/f.u.: -23.6
Magnetic moment in μB per formula unit: 0.00

Lattice parameters (Å, degrees): 6.682 6.682 4.411 90.00 90.00 90.00
Element x y z (fractional)
Tl  0.160  0.340  0.000
Tl  0.340  0.840  0.000
Tl  0.660  0.160  0.000
Tl  0.840  0.660  0.000
As  0.000  0.000  0.500
As  0.500  0.500  0.500
Rh  0.158  0.658  0.500
Rh  0.342  0.158  0.500
Rh  0.658  0.842  0.500
Rh  0.842  0.342  0.500

---

(5)
This record from Alexandria via LeMat-Bulk describes a relaxed structure of Tl2AsRh. The functional is PBE-GGA.

Summary:
Offset from the most stable computed form in eV per atom: 0.4330
Mass density in Mg/m³: 11.556
DFT formation energy in eV per atom: 0.340
Energy in eV/f.u.: -15.4
Magnetic moment in μB per formula unit: 0.00

Lattice parameters (Å, degrees): 3.608 3.608 6.474 90.00 90.00 90.00
Element x y z (fractional)
Tl  0.000  0.000  0.236
Tl  0.000  0.000  0.764
As  0.500  0.500  0.500
Rh  0.500  0.500  0.000

---

(6)
This record from Alexandria via LeMat-Bulk describes a relaxed structure of Tl2AsRh. The functional is PBE-GGA.

Summary:
Offset from the most stable computed form in eV per atom: 0.4112
Mass density in Mg/m³: 11.102
DFT formation energy in eV per atom: 0.319
Energy in eV/f.u.: -15.5
Magnetic moment in μB per formula unit: 0.00

Lattice parameters (Å, degrees): 9.499 9.499 9.499 20.00 20.00 20.00
Element x y z (fractional)
Tl  0.241  0.241  0.241
Tl  0.759  0.759  0.759
As  0.000  0.000  0.000
Rh  0.500  0.500  0.500

---

(7)
This record from Alexandria via LeMat-Bulk describes a relaxed structure of Tl2AsRh. The functional is PBE-GGA.

Summary:
Offset from the most stable computed form in eV per atom: 0.4307
Mass density in Mg/m³: 11.462
DFT formation energy in eV per atom: 0.338
Energy in eV/f.u.: -15.4
Magnetic moment in μB per formula unit: 0.00

Lattice parameters (Å, degrees): 5.232 5.232 5.232 128.66 128.66 75.57
Element x y z (fractional)
Tl  0.000  0.000  0.000
Tl  0.750  0.250  0.500
As  0.250  0.750  0.500
Rh  0.500  0.500  0.000

---

(8)
This record from Alexandria via LeMat-Bulk describes a relaxed structure of Tl2AsRh. The functional is PBE-GGA.

Summary:
Offset from the most stable computed form in eV per atom: 0.3879
Mass density in Mg/m³: 11.282
DFT formation energy in eV per atom: 0.295
Energy in eV/f.u.: -15.6
Magnetic moment in μB per formula unit: 0.00

Lattice parameters (Å, degrees): 3.173 3.173 8.575 90.00 90.00 90.00
Element x y z (fractional)
Tl  0.000  0.000  0.215
Tl  0.000  0.000  0.785
As  0.500  0.500  0.500
Rh  0.500  0.500  0.000

---

(9)
This record from Alexandria via LeMat-Bulk describes a relaxed structure of TlAs2Rh. The functional is PBE-GGA.

Summary:
Offset from the most stable computed form in eV per atom: 0.2274
Mass density in Mg/m³: 9.359
DFT formation energy in eV per atom: 0.074
Energy in eV/f.u.: -18.7
Magnetic moment in μB per formula unit: 0.00

Lattice parameters (Å, degrees): 8.666 8.666 8.666 22.15 22.15 22.15
Element x y z (fractional)
Tl  0.000  0.000  0.000
As  0.236  0.236  0.236
As  0.482  0.482  0.482
Rh  0.756  0.756  0.756

---

(10)
This record from Alexandria via LeMat-Bulk describes a relaxed structure of Tl2AsRh. The functional is PBE-GGA.

Summary:
Offset from the most stable computed form in eV per atom: 0.4891
Mass density in Mg/m³: 11.428
DFT formation energy in eV per atom: 0.397
Energy in eV/f.u.: -15.1
Magnetic moment in μB per formula unit: 0.00

Lattice parameters (Å, degrees): 4.940 4.940 4.940 60.00 60.00 60.00
Element x y z (fractional)
Tl  0.250  0.250  0.250
Tl  0.750  0.750  0.750
As  0.000  0.000  0.000
Rh  0.500  0.500  0.500

---

(11)
This record from Alexandria via LeMat-Bulk describes a relaxed structure of Tl2AsRh. The functional is PBE-GGA.

Summary:
Offset from the most stable computed form in eV per atom: 0.4295
Mass density in Mg/m³: 11.351
DFT formation energy in eV per atom: 0.337
Energy in eV/f.u.: -15.4
Magnetic moment in μB per formula unit: 0.00

Lattice parameters (Å, degrees): 5.450 5.450 5.168 116.99 116.99 39.66
Element x y z (fractional)
Tl  0.238  0.238  0.237
Tl  0.762  0.762  0.763
As  0.000  0.000  0.500
Rh  0.500  0.500  0.000

---

(12)
This record from Alexandria via LeMat-Bulk describes a relaxed structure of TlAs2Rh. The functional is PBE-GGA.

Summary:
Offset from the most stable computed form in eV per atom: 0.0486
Mass density in Mg/m³: 9.259
DFT formation energy in eV per atom: -0.105
Energy in eV/f.u.: -19.4
Magnetic moment in μB per formula unit: 0.00

Lattice parameters (Å, degrees): 3.171 3.171 8.151 90.00 90.00 90.00
Element x y z (fractional)
Tl  0.000  0.000  0.000
As  0.500  0.500  0.323
As  0.500  0.500  0.677
Rh  0.000  0.000  0.500